Here is crystalline Mn3AgF9 at its relaxed geometry from Alexandria via LeMat-Bulk. Energies are from PBE+U. Values from VASP.

Structure (Quantum ESPRESSO input):
```
&SYSTEM
  ibrav = 0, nat = 26, ntyp = 3
/
ATOMIC_SPECIES
F 19.00 F.upf
Mn 54.94 Mn.upf
Ag 107.87 Ag.upf
CELL_PARAMETERS angstrom
-0.430 -1.806 -5.284
7.394 -2.256 0.170
-2.378 -7.550 3.231
ATOMIC_POSITIONS angstrom
F -0.536 -8.169 2.837
F 2.064 -7.553 1.742
F 5.122 -3.443 -4.721
F 2.705 -5.200 0.181
F -2.131 -8.027 -0.913
F 2.522 -4.059 -3.625
F 5.939 -6.187 0.255
F 1.881 -6.412 -2.065
F -0.506 -3.135 -3.695
F -1.353 -5.425 -2.139
F 5.092 -8.477 1.811
F 0.065 -6.403 0.132
F 1.022 -8.989 -0.841
F 3.667 -7.897 -0.547
F 6.717 -3.585 -0.970
F 4.521 -5.209 -2.015
F 0.919 -3.715 -1.336
F 3.564 -2.623 -1.042
Mn 2.748 -4.411 -1.695
Mn 3.697 -1.128 0.085
Mn -1.837 -6.080 -0.273
Mn 0.000 0.000 0.000
Mn 6.423 -5.532 -1.611
Mn 1.838 -7.201 -0.188
Ag 0.802 -3.895 1.345
Ag 3.784 -7.716 -3.228
```

Summary:
DOS(E_F) = 0.00 states/eV per atom
Energy = -5.531 eV/atom
Density = 4.0 g/cm³